1.
# LiMnTl | Alexandria | PBE-GGA | relaxed
# * M_tot: 1.09 μB/atom
# * total DFT energy (no corrections): -4.062 eV/atom
# * Fermi-level density of states: 10.93 states/eV/cell
# * DFT formation energy: 0.421 eV/atom
# * energy above the lowest structure with this stoichiometry: 194 meV per atom
data_LiMnTl
_chemical_formula_sum 'Li4 Mn4 Tl4'
_space_group_name_H-M_alt 'F -4 3 m'
_space_group_IT_number 216
_space_group_name_Hall 'F -4 2 3'
_cell_length_a 6.4060
_cell_length_b 6.4060
_cell_length_c 6.4060
_cell_angle_alpha 90.00
_cell_angle_beta 90.00
_cell_angle_gamma 90.00
loop_
_atom_site_label
_atom_site_type_symbol
_atom_site_fract_x
_atom_site_fract_y
_atom_site_fract_z
Li1 Li 0.0000 0.0000 0.0000
Mn1 Mn 0.0000 0.0000 0.5000
Tl1 Tl 0.2500 0.2500 0.7500


2.
# LiMn4Tl | Alexandria | PBE-GGA | relaxed
# * M_tot: 1.17 μB/atom
# * total DFT energy (no corrections): -6.356 eV/atom
# * Fermi-level density of states: 32.73 states/eV/cell
# * DFT formation energy: 0.471 eV/atom
data_LiMn4Tl
_chemical_formula_sum 'Li4 Mn16 Tl4'
_space_group_name_H-M_alt 'F -4 3 m'
_space_group_IT_number 216
_space_group_name_Hall 'F -4 2 3'
_cell_length_a 6.9537
_cell_length_b 6.9537
_cell_length_c 6.9537
_cell_angle_alpha 90.00
_cell_angle_beta 90.00
_cell_angle_gamma 90.00
loop_
_atom_site_label
_atom_site_type_symbol
_atom_site_fract_x
_atom_site_fract_y
_atom_site_fract_z
Li1 Li 0.0000 0.0000 0.0000
Mn1 Mn 0.1264 0.1264 0.6264
Tl1 Tl 0.2500 0.2500 0.2500


3.
# LiMnTl2 | Alexandria | PBE-GGA | relaxed
# * M_tot: 1.00 μB/atom
# * total DFT energy (no corrections): -3.816 eV/atom
# * Fermi-level density of states: 1.63 states/eV/cell
# * DFT formation energy: 0.138 eV/atom
# * energy above the lowest structure with this stoichiometry: 17 meV per atom
data_LiMnTl2
_chemical_formula_sum 'Li1 Mn1 Tl2'
_space_group_name_H-M_alt 'P 4/m m m'
_space_group_IT_number 123
_space_group_name_Hall '-P 4 2'
_cell_length_a 4.7706
_cell_length_b 4.7706
_cell_length_c 3.6251
_cell_angle_alpha 90.00
_cell_angle_beta 90.00
_cell_angle_gamma 90.00
loop_
_atom_site_label
_atom_site_type_symbol
_atom_site_fract_x
_atom_site_fract_y
_atom_site_fract_z
Li1 Li 0.0000 0.0000 0.0000
Mn1 Mn 0.5000 0.5000 0.0000
Tl1 Tl 0.0000 0.5000 0.5000


4.
# LiMn2Tl | Alexandria | PBE-GGA | relaxed
# * M_tot: 1.80 μB/atom
# * total DFT energy (no corrections): -5.235 eV/atom
# * Fermi-level density of states: 3.43 states/eV/cell
# * DFT formation energy: 0.420 eV/atom
data_LiMn2Tl
_chemical_formula_sum 'Li1 Mn2 Tl1'
_space_group_name_H-M_alt 'P 1 2/m 1'
_space_group_IT_number 10
_cell_length_a 2.9089
_cell_length_b 4.5156
_cell_length_c 5.3628
_cell_angle_alpha 90.00
_cell_angle_beta 103.26
_cell_angle_gamma 90.00
loop_
_space_group_symop_operation_xyz
'x,y,z'
'-x,-y,-z'
'-x,y,-z'
'x,-y,z'
loop_
_atom_site_label
_atom_site_type_symbol
_atom_site_fract_x
_atom_site_fract_y
_atom_site_fract_z
Li1 Li 0.0000 0.0000 0.0000
Mn1 Mn 0.1802 0.5000 0.7738
Tl1 Tl 0.5000 0.0000 0.5000


5.
# Li2MnTl | Alexandria | PBE-GGA | relaxed
# * M_tot: 1.03 μB/atom
# * total DFT energy (no corrections): -3.567 eV/atom
# * Fermi-level density of states: 7.95 states/eV/cell
# * DFT formation energy: 0.274 eV/atom
data_Li2MnTl
_chemical_formula_sum 'Li6 Mn3 Tl3'
_space_group_name_H-M_alt 'R -3 m'
_space_group_IT_number 166
_space_group_name_Hall '-R 3 2"'
_cell_length_a 3.1791
_cell_length_b 3.1791
_cell_length_c 27.8000
_cell_angle_alpha 90.00
_cell_angle_beta 90.00
_cell_angle_gamma 120.00
loop_
_atom_site_label
_atom_site_type_symbol
_atom_site_fract_x
_atom_site_fract_y
_atom_site_fract_z
Li1 Li 0.0000 0.0000 0.2482
Mn1 Mn 0.0000 0.0000 0.5000
Tl1 Tl 0.0000 0.0000 0.0000


6.
# LiMnTl2 | Alexandria | PBE-GGA | relaxed
# * M_tot: 0.97 μB/atom
# * total DFT energy (no corrections): -3.735 eV/atom
# * Fermi-level density of states: 4.32 states/eV/cell
# * DFT formation energy: 0.219 eV/atom
# * energy above the lowest structure with this stoichiometry: 98 meV per atom
data_LiMnTl2
_chemical_formula_sum 'Li2 Mn2 Tl4'
_space_group_name_H-M_alt 'I -4 m 2'
_space_group_IT_number 119
_space_group_name_Hall 'I -4 -2'
_cell_length_a 4.1927
_cell_length_b 4.1927
_cell_length_c 9.7726
_cell_angle_alpha 90.00
_cell_angle_beta 90.00
_cell_angle_gamma 90.00
loop_
_atom_site_label
_atom_site_type_symbol
_atom_site_fract_x
_atom_site_fract_y
_atom_site_fract_z
Li1 Li 0.0000 0.0000 0.0000
Mn1 Mn 0.0000 0.5000 0.7500
Tl1 Tl 0.0000 0.0000 0.5000
Tl2 Tl 0.0000 0.5000 0.2500


7.
# LiMn2Tl | Alexandria | PBE-GGA | relaxed
# * M_tot: 1.83 μB/atom
# * total DFT energy (no corrections): -5.264 eV/atom
# * Fermi-level density of states: 5.95 states/eV/cell
# * DFT formation energy: 0.391 eV/atom
data_LiMn2Tl
_chemical_formula_sum 'Li2 Mn4 Tl2'
_space_group_name_H-M_alt 'C 1 m 1'
_space_group_IT_number 8
_cell_length_a 9.6585
_cell_length_b 3.2283
_cell_length_c 4.6740
_cell_angle_alpha 90.00
_cell_angle_beta 109.41
_cell_angle_gamma 90.00
loop_
_space_group_symop_operation_xyz
'x,y,z'
'x,-y,z'
'x+1/2,y+1/2,z'
'x+1/2,-y+1/2,z'
loop_
_atom_site_label
_atom_site_type_symbol
_atom_site_fract_x
_atom_site_fract_y
_atom_site_fract_z
Li1 Li 0.0000 0.0000 0.0000
Mn1 Mn 0.2516 0.5000 0.3022
Mn2 Mn 0.4897 0.0000 0.4802
Tl1 Tl 0.2517 0.0000 0.7991


8.
# LiMnTl2 | Alexandria | PBE-GGA | relaxed
# * M_tot: 0.99 μB/atom
# * total DFT energy (no corrections): -3.748 eV/atom
# * Fermi-level density of states: 4.35 states/eV/cell
# * DFT formation energy: 0.206 eV/atom
# * energy above the lowest structure with this stoichiometry: 85 meV per atom
data_LiMnTl2
_chemical_formula_sum 'Li2 Mn2 Tl4'
_space_group_name_H-M_alt 'C 1 2/m 1'
_space_group_IT_number 12
_cell_length_a 9.0905
_cell_length_b 3.2380
_cell_length_c 6.0530
_cell_angle_alpha 90.00
_cell_angle_beta 99.97
_cell_angle_gamma 90.00
loop_
_space_group_symop_operation_xyz
'x,y,z'
'-x,-y,-z'
'-x,y,-z'
'x,-y,z'
'x+1/2,y+1/2,z'
'-x+1/2,-y+1/2,-z'
'-x+1/2,y+1/2,-z'
'x+1/2,-y+1/2,z'
loop_
_atom_site_label
_atom_site_type_symbol
_atom_site_fract_x
_atom_site_fract_y
_atom_site_fract_z
Li1 Li 0.0000 0.0000 0.0000
Mn1 Mn 0.0000 0.5000 0.5000
Tl1 Tl 0.2478 0.5000 0.2517


Please write out number 5 again, unchanged.
# Li2MnTl | Alexandria | PBE-GGA | relaxed
# * M_tot: 1.03 μB/atom
# * total DFT energy (no corrections): -3.567 eV/atom
# * Fermi-level density of states: 7.95 states/eV/cell
# * DFT formation energy: 0.274 eV/atom
data_Li2MnTl
_chemical_formula_sum 'Li6 Mn3 Tl3'
_space_group_name_H-M_alt 'R -3 m'
_space_group_IT_number 166
_space_group_name_Hall '-R 3 2"'
_cell_length_a 3.1791
_cell_length_b 3.1791
_cell_length_c 27.8000
_cell_angle_alpha 90.00
_cell_angle_beta 90.00
_cell_angle_gamma 120.00
loop_
_atom_site_label
_atom_site_type_symbol
_atom_site_fract_x
_atom_site_fract_y
_atom_site_fract_z
Li1 Li 0.0000 0.0000 0.2482
Mn1 Mn 0.0000 0.0000 0.5000
Tl1 Tl 0.0000 0.0000 0.0000